PrZnH4: optimized geometry, PBE-GGA.

```
PrZnH4
1.0
3.232 -5.956 0.000
3.232 5.956 0.000
-2.232 0.000 3.489
Pr Zn H
2 2 8
Cartesian
1.558 4.460 2.617
2.674 -4.460 0.872
2.674 1.450 0.872
1.558 -1.450 2.617
-0.713 0.757 3.240
1.464 2.506 1.409
0.403 -0.757 1.495
3.884 2.506 0.336
0.348 -2.506 3.153
3.830 0.757 1.994
2.768 -2.506 2.080
4.946 -0.757 0.249
```

***

Pa2O5F: optimized geometry, PBE-GGA.

```
Pa2O5F
1.0
-1.934 3.270 4.293
1.934 -3.270 4.293
1.934 3.270 -4.293
Pa O F
2 5 1
Cartesian
0.000 0.000 2.066
0.000 0.000 6.521
0.000 0.000 0.000
1.934 -1.189 1.567
1.934 1.189 1.567
0.000 2.081 2.726
0.000 4.459 2.726
0.000 3.270 0.000
```

Values from the calculation:
Formation energy (no corrections) in eV per atom: -3.109

***

Ac2Zn5Pd4: optimized geometry, PBE-GGA.

```
Ac2Zn5Pd4
1.0
0.000 4.957 8.222
2.743 0.000 8.222
2.743 4.957 0.000
Ac Zn Pd
2 5 4
Cartesian
2.743 4.957 2.379
2.743 4.957 14.066
1.371 2.479 0.000
1.371 2.479 4.111
1.371 2.479 8.222
2.743 4.957 8.222
4.114 7.436 12.333
2.743 3.390 6.131
2.743 3.390 10.314
2.743 6.525 6.131
2.743 6.525 10.314
```

Values from the calculation:
Calculated formation energy in kJ/mol of atoms: -58.28

***

Sr2DyGeS5: optimized geometry, PBE-GGA.

```
Sr2DyGeS5
1.0
2.099 -8.784 0.000
2.099 8.784 0.000
0.000 0.000 12.125
Sr Dy Ge S
4 2 2 10
Cartesian
2.099 6.733 6.063
2.099 6.599 1.730
2.099 -6.599 7.792
2.099 -6.733 0.000
2.099 5.138 10.228
2.099 -5.138 4.165
2.099 0.942 3.137
2.099 -0.942 9.200
2.099 8.020 10.237
2.099 3.609 5.928
2.099 3.188 2.297
2.099 2.523 9.987
2.099 0.024 7.143
2.099 -0.024 1.081
2.099 -2.523 3.924
2.099 -3.188 8.359
2.099 -3.609 11.990
2.099 -8.020 4.174
```

Values from the calculation:
Formation energy (no corrections) in eV per atom: -1.602

***

Sc2HgCl: optimized geometry, PBE-GGA.

```
Sc2HgCl
1.0
3.381 0.000 0.000
0.000 1.660 7.276
0.000 -1.660 7.276
Sc Hg Cl
2 1 1
Cartesian
0.000 0.000 0.000
0.000 0.000 3.893
1.690 0.000 9.396
1.690 0.000 5.949
```

Values from the calculation:
Formation energy (no corrections) in eV per atom: -0.713

***

Pu3PaGe4: optimized geometry, PBE-GGA.

```
Pu3PaGe4
1.0
-4.029 4.029 2.875
4.029 -4.029 2.875
4.029 4.029 -2.875
Pu Pa Ge
3 1 4
Cartesian
0.000 0.000 0.000
4.029 0.000 1.437
0.000 4.029 1.437
0.000 0.000 2.875
1.987 1.987 0.000
2.042 -2.042 2.875
-2.042 2.042 2.875
2.042 2.042 2.875
```

Values from the calculation:
Calculated formation energy in kJ/mol of atoms: -13.81

***

Result set for raw total energy: -3.445, -8.816, -3.818, -5.293, -4.415, -9.013 eV per atom, one per record in the order listed.
Result set for calculated density: 5.20, 8.58, 8.96, 4.24, 6.63, 11.15 g cm⁻³, one per record in the order listed.
Result set for magnetic moment: 0.00, 0.00, 0.00, 0.00, 0.81, 17.99 Bohr magnetons per cell, one per record in the order listed.